(1)
Entry from the Alexandria database: crystalline Ho5ErRu6 at its relaxed geometry (PBE-GGA).

Results
The calculation puts the density at 11.44 g/cm³. Its density of states at the Fermi level is 13.2 states/eV/f.u. The electronic total energy comes out at -7.2819 eV/atom.

Cell lengths 8.2662, 8.2662, 8.2662 Å; angles 146.33, 131.63, 60.23 degrees
Last column: nearest neighbours and their distance in Å.
Sites, in units of the cell vectors:
Ho (0.0000, 0.0000, 0.0000)  8 Ru 2.92-2.93
Ho (0.1667, 0.6667, 0.5000)  8 Ru 2.93
Ho (0.3336, 0.3336, 0.0000)  8 Ru 2.92-2.93
Ho (0.6664, 0.6664, 0.0000)  8 Ru 2.92-2.93
Ho (0.8333, 0.3333, 0.5000)  8 Ru 2.93
Er (0.5000, 0.0000, 0.5000)  8 Ru 2.92-2.93
Ru (0.0837, 0.8336, 0.2502)  1 Er 2.92, 7 Ho 2.92-2.93
Ru (0.2504, 0.5000, 0.7504)  6 Ho 2.92-2.93, 2 Er 2.93
Ru (0.4166, 0.1664, 0.2502)  1 Er 2.92, 7 Ho 2.92-2.93
Ru (0.5834, 0.8336, 0.7498)  1 Er 2.92, 7 Ho 2.92-2.93
Ru (0.7496, 0.5000, 0.2496)  6 Ho 2.92-2.93, 2 Er 2.93
Ru (0.9163, 0.1664, 0.7498)  1 Er 2.92, 7 Ho 2.92-2.93



(2)
Entry from the Alexandria database: crystalline YCoMo2 at its relaxed geometry (PBE-GGA).

Results
As for the energy relative to the lowest polymorph listed for this composition: 0.384 eV/f.u. The calculation puts the density at 8.18 g/cm³. Its density of states at the Fermi level is 3.0 states/eV/f.u. The electronic total energy comes out at -8.5161 eV/atom.

Cell lengths 5.6569, 5.6569, 5.6569 Å; angles 148.29, 133.10, 57.72 degrees
Last column: nearest neighbours and their distance in Å.
Sites, in units of the cell vectors:
Y (0.0000, 0.0000, 0.0000)  4 Co 2.73
Co (0.5000, 0.5000, 0.0000)  4 Mo 2.73, 4 Y 2.73
Mo (0.2729, 0.7729, 0.5000)  2 Co 2.73, 4 Mo 2.77
Mo (0.7271, 0.2271, 0.5000)  2 Co 2.73, 4 Mo 2.77



(3)
Entry from the Alexandria database: crystalline PuHf2Ti at its relaxed geometry (PBE-GGA).

Results
As for the energy relative to the lowest polymorph listed for this composition: 0.166 eV/f.u. The calculation puts the density at 12.71 g/cm³. Its density of states at the Fermi level is 12.3 states/eV/f.u. The electronic total energy comes out at -10.3309 eV/atom.

Cell lengths 4.9303, 4.9303, 4.9303 Å; angles 60.00, 60.00, 60.00 degrees
Last column: nearest neighbours and their distance in Å.
Sites, in units of the cell vectors:
Pu (0.0000, 0.0000, 0.0000)  8 Hf 3.02
Hf (0.2500, 0.2500, 0.2500)  4 Pu 3.02, 4 Ti 3.02
Hf (0.7500, 0.7500, 0.7500)  4 Pu 3.02, 4 Ti 3.02
Ti (0.5000, 0.5000, 0.5000)  8 Hf 3.02



(4)
Entry from the Alexandria database: crystalline Dy3Ir2 at its relaxed geometry (PBE-GGA).

Results
As for the energy relative to the lowest polymorph listed for this composition: 0.000 eV/f.u. The calculation puts the density at 12.72 g/cm³. Its density of states at the Fermi level is 2.5 states/eV/f.u. The electronic total energy comes out at -7.1071 eV/atom.

Cell lengths 14.9028, 14.9028, 14.9028 Å; angles 135.68, 135.68, 64.48 degrees
Last column: nearest neighbours and their distance in Å.
Sites, in units of the cell vectors:
Dy (0.0024, 0.7235, 0.8696)  4 Ir 2.88-3.05
Dy (0.0167, 0.7266, 0.1311)  5 Ir 2.77-3.07
Dy (0.0954, 0.2266, 0.7099)  5 Ir 2.77-3.07
Dy (0.1132, 0.6132, 0.5000)  4 Ir 2.86-3.09
Dy (0.1144, 0.9833, 0.7099)  5 Ir 2.77-3.07
Dy (0.1328, 0.0024, 0.2790)  4 Ir 2.88-3.05
Dy (0.1461, 0.8672, 0.8696)  4 Ir 2.88-3.05
Dy (0.1500, 0.3500, 0.5000)  4 Ir 2.72-2.84
Dy (0.2235, 0.5024, 0.8696)  4 Ir 2.88-3.05
Dy (0.2266, 0.5167, 0.1311)  5 Ir 2.77-3.07
Dy (0.2500, 0.7500, 0.5000)  4 Ir 2.90
Dy (0.2734, 0.4046, 0.2901)  5 Ir 2.77-3.07
Dy (0.2765, 0.1461, 0.2790)  4 Ir 2.88-3.05
Dy (0.3500, 0.8500, 0.2001)  4 Ir 2.72-2.84
Dy (0.3539, 0.2235, 0.7210)  4 Ir 2.88-3.05
Dy (0.3672, 0.6461, 0.8696)  4 Ir 2.88-3.05
Dy (0.3856, 0.0954, 0.8689)  5 Ir 2.77-3.07
Dy (0.3868, 0.8868, 0.5000)  4 Ir 2.86-3.09
Dy (0.4046, 0.1144, 0.1311)  5 Ir 2.77-3.07
Dy (0.4833, 0.6144, 0.7099)  5 Ir 2.77-3.07
Dy (0.4976, 0.3672, 0.7210)  4 Ir 2.88-3.05
Dy (0.5024, 0.6328, 0.2790)  4 Ir 2.88-3.05
Dy (0.5167, 0.3856, 0.2901)  5 Ir 2.77-3.07
Dy (0.5954, 0.8856, 0.8689)  5 Ir 2.77-3.07
Dy (0.6132, 0.1132, 0.5000)  4 Ir 2.86-3.09
Dy (0.6144, 0.9046, 0.1311)  5 Ir 2.77-3.07
Dy (0.6328, 0.3539, 0.1304)  4 Ir 2.88-3.05
Dy (0.6461, 0.7765, 0.2790)  4 Ir 2.88-3.05
Dy (0.6500, 0.1500, 0.7999)  4 Ir 2.72-2.84
Dy (0.7235, 0.8539, 0.7210)  4 Ir 2.88-3.05
Dy (0.7266, 0.5954, 0.7099)  5 Ir 2.77-3.07
Dy (0.7500, 0.2500, 0.5000)  4 Ir 2.90
Dy (0.7734, 0.4833, 0.8689)  5 Ir 2.77-3.07
Dy (0.7765, 0.4976, 0.1304)  4 Ir 2.88-3.05
Dy (0.8500, 0.6500, 0.5000)  4 Ir 2.72-2.84
Dy (0.8539, 0.1328, 0.1304)  4 Ir 2.88-3.05
Dy (0.8672, 0.9976, 0.7210)  4 Ir 2.88-3.05
Dy (0.8856, 0.0167, 0.2901)  5 Ir 2.77-3.07
Dy (0.8868, 0.3868, 0.5000)  4 Ir 2.86-3.09
Dy (0.9046, 0.7734, 0.2901)  5 Ir 2.77-3.07
Dy (0.9833, 0.2734, 0.8689)  5 Ir 2.77-3.07
Dy (0.9976, 0.2765, 0.1304)  4 Ir 2.88-3.05
Ir (0.0000, 0.0000, 0.0000)  8 Dy 3.05, 2 Ir 3.36
Ir (0.0346, 0.5346, 0.1928)  6 Dy 2.90-3.09
Ir (0.0735, 0.2140, 0.5000)  6 Dy 2.72-2.91
Ir (0.0974, 0.5974, 0.6949)  6 Dy 2.84-2.88, 1 Ir 3.10
Ir (0.1334, 0.1334, 0.0000)  8 Dy 2.90-2.96, 1 Ir 2.94
Ir (0.1582, 0.9654, 0.5000)  6 Dy 2.90-3.09
Ir (0.2140, 0.7140, 0.1404)  6 Dy 2.72-2.91
Ir (0.2500, 0.2500, 0.0000)  8 Dy 2.90, 2 Ir 2.94
Ir (0.2860, 0.4265, 0.5000)  6 Dy 2.72-2.91
Ir (0.3418, 0.8418, 0.8072)  6 Dy 2.90-3.09
Ir (0.3666, 0.3666, 0.0000)  8 Dy 2.90-2.96, 1 Ir 2.94
Ir (0.4026, 0.0974, 0.5000)  6 Dy 2.84-2.88, 1 Ir 3.10
Ir (0.4265, 0.9265, 0.1404)  6 Dy 2.72-2.91
Ir (0.4654, 0.6582, 0.5000)  6 Dy 2.90-3.09
Ir (0.5000, 0.5000, 0.0000)  8 Dy 3.05, 2 Ir 3.36
Ir (0.5346, 0.3418, 0.5000)  6 Dy 2.90-3.09
Ir (0.5735, 0.0735, 0.8596)  6 Dy 2.72-2.91
Ir (0.5974, 0.9026, 0.5000)  6 Dy 2.84-2.88, 1 Ir 3.10
Ir (0.6334, 0.6334, 0.0000)  8 Dy 2.90-2.96, 1 Ir 2.94
Ir (0.6582, 0.1582, 0.1928)  6 Dy 2.90-3.09
Ir (0.7140, 0.5735, 0.5000)  6 Dy 2.72-2.91
Ir (0.7500, 0.7500, 0.0000)  8 Dy 2.90, 2 Ir 2.94
Ir (0.7860, 0.2860, 0.8596)  6 Dy 2.72-2.91
Ir (0.8418, 0.0346, 0.5000)  6 Dy 2.90-3.09
Ir (0.8666, 0.8666, 0.0000)  8 Dy 2.90-2.96, 1 Ir 2.94
Ir (0.9026, 0.4026, 0.3051)  6 Dy 2.84-2.88, 1 Ir 3.10
Ir (0.9265, 0.7860, 0.5000)  6 Dy 2.72-2.91
Ir (0.9654, 0.4654, 0.8072)  6 Dy 2.90-3.09



(5)
Entry from the Alexandria database: crystalline PaMnC at its relaxed geometry (PBE-GGA).

Results
As for the energy relative to the lowest polymorph listed for this composition: 0.000 eV/f.u. The calculation puts the density at 12.25 g/cm³. Its density of states at the Fermi level is 3.8 states/eV/f.u. The electronic total energy comes out at -9.4045 eV/atom.

Cell lengths 4.9613, 4.9613, 6.4110 Å; angles 118.14, 118.14, 36.12 degrees
Last column: nearest neighbours and their distance in Å.
Sites, in units of the cell vectors:
Pa (0.0702, 0.0702, 0.3400)  5 C 2.62-2.73, 2 Mn 2.84
Pa (0.9298, 0.9298, 0.6600)  5 C 2.62-2.73, 2 Mn 2.84
Mn (0.3151, 0.3151, 0.9180)  3 C 1.97-2.14
Mn (0.6849, 0.6849, 0.0820)  3 C 1.97-2.14
C (0.3233, 0.3233, 0.2579)  3 Mn 1.97-2.14
C (0.6767, 0.6767, 0.7421)  3 Mn 1.97-2.14



(6)
Entry from the Alexandria database: crystalline Na2Er2SnO6 at its relaxed geometry (PBE-GGA).

Results
The calculation puts the energy relative to the elements, uncorrected at -2.49 eV/atom. The calculation puts the density at 6.03 g/cm³. Its density of states at the Fermi level is 0.0 states/eV/f.u. The electronic total energy comes out at -6.6255 eV/atom.

Cell lengths 5.7776, 5.7776, 5.9157 Å; angles 98.36, 98.36, 119.90 degrees
Last column: nearest neighbours and their distance in Å.
Sites, in units of the cell vectors:
Na (0.1590, 0.8410, 0.0000)  6 O 2.46-2.73
Na (0.8410, 0.1590, 0.0000)  6 O 2.46-2.73
Er (0.3352, 0.6648, 0.5000)  6 O 2.24-2.29
Er (0.6648, 0.3352, 0.5000)  6 O 2.24-2.29
Sn (0.0000, 0.0000, 0.5000)  6 O 2.08-2.17
O (0.0499, 0.3757, 0.6964)  1 Sn 2.17, 2 Er 2.24-2.29
O (0.2454, 0.2454, 0.3025)  1 Sn 2.08, 2 Er 2.29
O (0.3757, 0.0499, 0.6964)  1 Sn 2.17, 2 Er 2.24-2.29
O (0.6243, 0.9501, 0.3036)  1 Sn 2.17, 2 Er 2.24-2.29
O (0.7546, 0.7546, 0.6975)  1 Sn 2.08, 2 Er 2.29
O (0.9501, 0.6243, 0.3036)  1 Sn 2.17, 2 Er 2.24-2.29



(7)
Entry from the Alexandria database: crystalline Sn2GeTe2 at its relaxed geometry (PBE-GGA).

Results
The calculation puts the energy relative to the elements, uncorrected at 0.21 eV/atom. As for the energy relative to the lowest polymorph listed for this composition: 0.504 eV/f.u. The calculation puts the density at 6.29 g/cm³. Its density of states at the Fermi level is 2.5 states/eV/f.u. The electronic total energy comes out at -3.5755 eV/atom.

Cell lengths 9.0833, 9.0833, 9.0833 Å; angles 153.49, 153.49, 37.85 degrees
Last column: nearest neighbours and their distance in Å.
Sites, in units of the cell vectors:
Sn (0.2500, 0.7500, 0.5000)  4 Sn 2.95
Sn (0.7500, 0.2500, 0.5000)  4 Sn 2.95
Ge (0.0000, 0.0000, 0.0000)  8 Te 3.33
Te (0.4094, 0.4094, 0.0000)  1 Te 3.11, 4 Ge 3.33, 4 Sn 3.44
Te (0.5906, 0.5906, 0.0000)  1 Te 3.11, 4 Ge 3.33, 4 Sn 3.44



(8)
Entry from the Alexandria database: crystalline TlSiPt2 at its relaxed geometry (PBE-GGA).

Results
The calculation puts the energy relative to the elements, uncorrected at -0.19 eV/atom. The calculation puts the density at 11.51 g/cm³. Its density of states at the Fermi level is 1.6 states/eV/f.u. The electronic total energy comes out at -5.1546 eV/atom.

Cell lengths 3.9670, 3.9437, 6.0574 Å; angles 90.00, 108.59, 90.00 degrees
Last column: nearest neighbours and their distance in Å.
Sites, in units of the cell vectors:
Tl (0.0000, 0.0000, 0.0000)  4 Pt 2.92-2.97, 2 Si 2.99
Si (0.2063, 0.5000, 0.3915)  4 Pt 2.36-2.38
Pt (0.3201, 0.0000, 0.6247)  2 Si 2.38
Pt (0.8147, 0.5000, 0.6139)  2 Si 2.36